Below is a relaxed structure of Ba2Li4SbAs3, with properties calculated at the GGA-PBE level.

abc: 4.5217 4.5217 11.3187
angles: 90.00 90.00 90.00
Atoms (fractional coordinates):
Li 0.0000 0.5000 0.3546
Li 0.0000 0.0000 0.0000
Li 0.5000 0.0000 0.6454
Li 0.5000 0.5000 0.0000
Sb 0.5000 0.5000 0.5000
As 0.0000 0.5000 0.1287
As 0.0000 0.0000 0.5000
As 0.5000 0.0000 0.8713
Ba 0.5000 0.0000 0.2329
Ba 0.0000 0.5000 0.7671

**D(E_F)**: 4.6 states/eV/f.u.
**Energy relative to the elements, uncorrected**: -0.813 eV/atom